No. 1
# MoRu2Pb GGA-PBE relaxed
data_MoRu2Pb
_chemical_formula_sum 'Mo1 Ru2 Pb1'
_cell_length_a 4.921
_cell_length_b 4.921
_cell_length_c 4.877
_cell_angle_alpha 102.69
_cell_angle_beta 102.69
_cell_angle_gamma 36.19
_symmetry_space_group_name_H-M 'P 1'
_symmetry_Int_Tables_number 1
loop_
_symmetry_equiv_pos_as_xyz
'x,y,z'
loop_
_atom_site_label
_atom_site_type_symbol
_atom_site_fract_x
_atom_site_fract_y
_atom_site_fract_z
Mo1 Mo 0.000 0.000 0.000
Ru1 Ru 0.482 0.482 0.429
Ru2 Ru 0.728 0.728 0.134
Pb1 Pb 0.237 0.237 0.651
# Spin magnetization in μB/f.u.: 0.00
# E in eV per cell: -31.33

No. 2
# MoRu2Pb GGA-PBE relaxed
data_MoRu2Pb
_chemical_formula_sum 'Mo1 Ru2 Pb1'
_cell_length_a 4.878
_cell_length_b 2.978
_cell_length_c 5.118
_cell_angle_alpha 90.00
_cell_angle_beta 115.34
_cell_angle_gamma 90.00
_symmetry_space_group_name_H-M 'P 1'
_symmetry_Int_Tables_number 1
loop_
_symmetry_equiv_pos_as_xyz
'x,y,z'
loop_
_atom_site_label
_atom_site_type_symbol
_atom_site_fract_x
_atom_site_fract_y
_atom_site_fract_z
Mo1 Mo 0.000 0.000 0.000
Ru1 Ru 0.500 0.000 0.500
Ru2 Ru 0.500 0.500 0.000
Pb1 Pb 0.000 0.500 0.500
# Spin magnetization in μB/f.u.: 0.00
# E in eV per cell: -30.62

No. 3
# MoRu2Pb GGA-PBE relaxed
data_MoRu2Pb
_chemical_formula_sum 'Mo1 Ru2 Pb1'
_cell_length_a 2.944
_cell_length_b 4.123
_cell_length_c 5.591
_cell_angle_alpha 90.00
_cell_angle_beta 90.00
_cell_angle_gamma 90.00
_symmetry_space_group_name_H-M 'P 1'
_symmetry_Int_Tables_number 1
loop_
_symmetry_equiv_pos_as_xyz
'x,y,z'
loop_
_atom_site_label
_atom_site_type_symbol
_atom_site_fract_x
_atom_site_fract_y
_atom_site_fract_z
Mo1 Mo 0.000 0.000 0.000
Ru1 Ru 0.000 0.000 0.562
Ru2 Ru 0.500 0.500 0.817
Pb1 Pb 0.500 0.500 0.315
# Spin magnetization in μB/f.u.: 0.00
# E in eV per cell: -31.08